InFeCl2 | GGA-PBE | optimized geometry

Summary:
**V**: 24.4 Å³ per atom
**Polymorph energy (0 for the lowest one)**: 74 meV per atom
**Total magnetization**: 3.32 μB per formula unit
**Total DFT energy (no corrections)**: -4.0918 eV/atom
**Formation energy from raw total energies**: -368 meV/atom

Unit cell a=3.3816 b=5.6396 c=10.2512 alpha=90.00 beta=90.00 gamma=90.00
Space group Immm (No. 71)
One atom of each set of equivalent atoms:
In  0.0000  0.0000  0.0000 x2
Fe  0.0000  0.0000  0.5000 x2
Cl  0.0000  0.5000  0.1658 x4